1.
A plane-wave DFT calculation with SCAN was carried out for a PBEsol-optimized structure of Mo2PbSe.

Values from the calculation:
Final energy: -40.640 eV/atom
Total moment: 0.0 μB/cell
DOS(E_F): 2.1 states/eV/f.u.
Uncorrected formation energy: 768 meV/atom
Offset from the most stable computed form: 405 meV per atom

POSCAR file:
```
Mo2PbSe
1.0
-2.128 2.128 3.938
2.128 -2.128 3.938
2.128 2.128 -3.938
Mo Pb Se
2 1 1
direct
0.000 0.000 0.000
0.750 0.250 0.500
0.500 0.500 0.000
0.250 0.750 0.500
```


2.
A plane-wave DFT calculation with SCAN was carried out for a PBEsol-optimized structure of Cd3AuC.

Values from the calculation:
ΔH_f (0 K): 1.33 eV per atom
Final energy: -32.771 eV/atom
Total moment: 2.3 μB/cell
DOS(E_F): 2.4 states/eV/f.u.
Offset from the most stable computed form: 743 meV per atom

POSCAR file:
```
Cd3AuC
1.0
5.179 0.000 0.000
0.000 5.179 0.000
0.000 0.000 5.179
Cd Au C
3 1 1
direct
0.000 0.000 0.500
0.000 0.500 0.000
0.500 0.000 0.000
0.000 0.000 0.000
0.500 0.500 0.500
```


3.
A plane-wave DFT calculation with SCAN was carried out for a PBEsol-optimized structure of YAgTe2.

Values from the calculation:
Final energy: -34.380 eV/atom
Total moment: 0.0 μB/cell
Uncorrected formation energy: -952 meV/atom

POSCAR file:
```
YAgTe2
1.0
2.164 1.250 6.827
-2.164 1.250 6.827
0.000 -2.499 6.827
Y Ag Te
1 1 2
direct
0.000 0.000 0.000
0.500 0.500 0.500
0.247 0.247 0.247
0.753 0.753 0.753
```


4.
A plane-wave DFT calculation with SCAN was carried out for a PBEsol-optimized structure of Li4ZrIr.

Values from the calculation:
ΔH_f (0 K): -0.05 eV per atom
Final energy: -18.613 eV/atom
Total moment: 0.0 μB/cell
DOS(E_F): 4.7 states/eV/f.u.

POSCAR file:
```
Li4ZrIr
1.0
0.000 3.442 3.442
3.442 0.000 3.442
3.442 3.442 0.000
Li Zr Ir
4 1 1
direct
0.122 0.122 0.122
0.122 0.122 0.635
0.122 0.635 0.122
0.635 0.122 0.122
0.500 0.500 0.500
0.750 0.750 0.750
```


5.
A plane-wave DFT calculation with SCAN was carried out for a PBEsol-optimized structure of In3Te.

Values from the calculation:
Final energy: -34.373 eV/atom
Total moment: 0.0 μB/cell
DOS(E_F): 1.2 states/eV/f.u.
Uncorrected formation energy: -21 meV/atom

POSCAR file:
```
In3Te
1.0
3.953 0.000 0.000
0.000 3.953 0.000
0.000 0.000 6.936
In Te
3 1
direct
0.000 0.000 0.000
0.500 0.500 0.255
0.500 0.500 0.745
0.000 0.000 0.500
```


6.
A plane-wave DFT calculation with SCAN was carried out for a PBEsol-optimized structure of Tb3CuGeS7.

Values from the calculation:
Final energy: -21.812 eV/atom
Total moment: 0.0 μB/cell
DOS(E_F): 0.0 states/eV/f.u.
Uncorrected formation energy: -1647 meV/atom

POSCAR file:
```
Tb3CuGeS7
1.0
9.790 0.000 0.000
-4.895 8.478 0.000
0.000 0.000 5.674
Tb Cu Ge S
6 2 2 14
direct
0.130 0.774 0.000
0.226 0.357 0.000
0.357 0.130 0.500
0.643 0.870 0.000
0.774 0.643 0.500
0.870 0.226 0.500
0.000 0.000 0.463
0.000 0.000 0.963
0.333 0.667 0.581
0.667 0.333 0.081
0.096 0.837 0.478
0.097 0.517 0.743
0.163 0.259 0.478
0.259 0.096 0.978
0.333 0.667 0.197
0.421 0.903 0.743
0.483 0.579 0.743
0.517 0.421 0.243
0.579 0.097 0.243
0.667 0.333 0.697
0.741 0.904 0.478
0.837 0.741 0.978
0.903 0.483 0.243
0.904 0.163 0.978
```


7.
A plane-wave DFT calculation with SCAN was carried out for a PBEsol-optimized structure of RbSn3Os.

Values from the calculation:
ΔH_f (0 K): 0.26 eV per atom
Final energy: -39.821 eV/atom
Total moment: 0.0 μB/cell
DOS(E_F): 7.2 states/eV/f.u.

POSCAR file:
```
RbSn3Os
1.0
5.196 0.000 0.000
0.000 5.196 0.000
0.000 0.000 5.196
Rb Sn Os
1 3 1
direct
0.000 0.000 0.000
0.000 0.500 0.500
0.500 0.000 0.500
0.500 0.500 0.000
0.500 0.500 0.500
```


8.
A plane-wave DFT calculation with SCAN was carried out for a PBEsol-optimized structure of KTi3Ir.

Values from the calculation:
ΔH_f (0 K): 1.84 eV per atom
Final energy: -23.666 eV/atom
Total moment: 1.9 μB/cell
DOS(E_F): 5.5 states/eV/f.u.

POSCAR file:
```
KTi3Ir
1.0
4.319 0.000 0.000
0.000 4.319 0.000
0.000 0.000 4.319
K Ti Ir
1 3 1
direct
0.000 0.000 0.000
0.000 0.000 0.500
0.000 0.500 0.000
0.500 0.000 0.000
0.500 0.500 0.500
```